No. 1
Density functional theory data (PBE-GGA) for a geometry-optimized Mg8Ga3Ge2 structure.

Geometry as extended XYZ:
```
13
Lattice="4.586 -6.723 0.000 4.586 6.723 0.000 0.000 0.000 4.525" Properties=species:S:1:pos:R:3 pbc="T T T"
Mg 2.268 1.745 2.263
Mg 4.586 5.121 0.000
Mg 4.586 1.850 0.000
Mg 2.268 -1.745 2.263
Mg 6.905 1.745 2.263
Mg 4.586 -1.850 0.000
Mg 4.586 -5.121 0.000
Mg 6.905 -1.745 2.263
Ga 2.364 0.000 0.000
Ga 4.586 0.000 2.263
Ga 6.809 0.000 0.000
Ge 4.586 3.432 2.263
Ge 4.586 -3.432 2.263
```

Its formation energy is -159 meV/atom. For the total energy, the calculation gives -2.549 eV/atom. As for the calculated density: 3.3 g/cm3.



No. 2
Density functional theory data (PBE-GGA) for a geometry-optimized Mg8Ga2Ge structure.

Geometry as extended XYZ:
```
11
Lattice="8.194 -2.271 0.000 8.194 2.271 0.000 -2.419 0.000 6.210" Properties=species:S:1:pos:R:3 pbc="T T T"
Mg -0.251 0.000 1.748
Mg 1.384 0.000 4.969
Mg 4.138 0.000 3.408
Mg 6.546 0.000 0.289
Mg 7.424 0.000 5.921
Mg 9.832 0.000 2.802
Mg 12.585 0.000 1.241
Mg 14.221 0.000 4.462
Ga 2.463 0.000 1.167
Ga 11.507 0.000 5.043
Ge 6.985 0.000 3.105
```

Its formation energy is -105 meV/atom. For the total energy, the calculation gives -2.235 eV/atom. For the energy above the most stable polymorph in this dataset, the calculation gives 0 kJ/mol of formula units. As for the calculated density: 2.9 g/cm3.



No. 3
Density functional theory data (PBE-GGA) for a geometry-optimized Mg8Ga2Ge structure.

Geometry as extended XYZ:
```
11
Lattice="8.848 -2.397 0.000 8.848 2.397 0.000 -0.692 0.000 5.468" Properties=species:S:1:pos:R:3 pbc="T T T"
Mg 0.722 0.000 1.407
Mg 4.051 0.000 1.812
Mg 5.387 0.000 4.884
Mg 7.102 0.000 2.188
Mg 9.902 0.000 3.280
Mg 11.617 0.000 0.585
Mg 12.953 0.000 3.656
Mg 16.282 0.000 4.061
Ga 2.446 0.000 4.277
Ga 14.559 0.000 1.191
Ge 8.848 0.000 0.000
```

Its formation energy is -65 meV/atom. For the total energy, the calculation gives -2.195 eV/atom. For the energy above the most stable polymorph in this dataset, the calculation gives 42 kJ/mol of formula units. As for the calculated density: 2.9 g/cm3.



No. 4
Density functional theory data (PBE-GGA) for a geometry-optimized Mg6Ga8Ge structure.

Geometry as extended XYZ:
```
15
Lattice="3.744 2.162 6.229 -3.744 2.162 6.229 0.000 -4.323 6.229" Properties=species:S:1:pos:R:3 pbc="T T T"
Mg -2.666 -0.514 8.403
Mg -0.888 -2.566 10.283
Mg -1.778 2.052 10.283
Mg 1.778 -2.052 8.403
Mg 0.888 2.566 8.403
Mg 2.666 0.514 10.283
Ga -0.934 -2.104 6.924
Ga 0.000 0.000 1.985
Ga -2.289 -0.243 11.762
Ga -1.355 1.861 6.924
Ga 1.355 -1.861 11.762
Ga 2.289 0.243 6.924
Ga 0.000 0.000 16.701
Ga 0.934 2.104 11.762
Ge 0.000 0.000 9.343
```

Its formation energy is -63 meV/atom. For the total energy, the calculation gives -2.623 eV/atom. As for the calculated density: 4.3 g/cm3.



No. 5
Density functional theory data (PBE-GGA) for a geometry-optimized MgGa3Ge structure.

Geometry as extended XYZ:
```
5
Lattice="5.002 0.000 0.000 0.000 5.002 0.000 0.000 0.000 5.002" Properties=species:S:1:pos:R:3 pbc="T T T"
Mg 0.000 0.000 0.000
Ga 0.000 2.501 2.501
Ga 2.501 0.000 2.501
Ga 2.501 2.501 0.000
Ge 2.501 2.501 2.501
```

Its formation energy is 369 meV/atom. For the total energy, the calculation gives -2.689 eV/atom. For the energy above the most stable polymorph in this dataset, the calculation gives 0 kJ/mol of formula units. As for the calculated density: 4.1 g/cm3.



No. 6
Density functional theory data (PBE-GGA) for a geometry-optimized MgGa2Ge structure.

Geometry as extended XYZ:
```
8
Lattice="-3.887 3.887 2.709 3.887 -3.887 2.709 3.887 3.887 -2.709" Properties=species:S:1:pos:R:3 pbc="T T T"
Mg 0.000 0.000 0.000
Mg 0.000 3.887 1.354
Ga 1.943 -1.615 2.031
Ga 2.271 1.943 0.677
Ga 1.943 5.502 -0.677
Ga 1.615 1.943 3.386
Ge 3.887 0.000 1.354
Ge 0.000 0.000 2.709
```

Its formation energy is 18 meV/atom. For the total energy, the calculation gives -3.048 eV/atom. For the energy above the most stable polymorph in this dataset, the calculation gives 25 kJ/mol of formula units. As for the calculated density: 4.8 g/cm3.



No. 7
Density functional theory data (PBE-GGA) for a geometry-optimized Mg2Ga4Ge structure.

Geometry as extended XYZ:
```
28
Lattice="0.000 6.592 6.592 6.592 0.000 6.592 6.592 6.592 0.000" Properties=species:S:1:pos:R:3 pbc="T T T"
Mg 10.345 6.135 6.135
Mg 2.839 2.839 2.839
Mg 7.049 7.049 2.839
Mg 7.049 2.839 7.049
Mg 6.135 10.345 6.135
Mg 6.135 6.135 10.345
Mg 10.345 10.345 10.345
Mg 2.839 7.049 7.049
Ga 0.000 0.000 0.000
Ga 3.296 3.296 0.000
Ga 3.296 0.000 3.296
Ga 4.944 4.944 1.989
Ga 4.944 1.989 4.944
Ga 7.899 4.944 4.944
Ga 8.240 8.240 5.284
Ga 8.240 5.284 8.240
Ga 11.195 8.240 8.240
Ga 0.000 3.296 3.296
Ga 1.989 4.944 4.944
Ga 4.944 7.899 4.944
Ga 4.944 4.944 7.899
Ga 5.284 8.240 8.240
Ga 8.240 11.195 8.240
Ga 8.240 8.240 11.195
Ge 6.592 3.296 3.296
Ge 3.296 6.592 3.296
Ge 3.296 3.296 6.592
Ge 6.592 6.592 6.592
```

Its formation energy is 6 meV/atom. For the total energy, the calculation gives -2.839 eV/atom. As for the calculated density: 4.6 g/cm3.



No. 8
Density functional theory data (PBE-GGA) for a geometry-optimized MgGa3Ge structure.

Geometry as extended XYZ:
```
5
Lattice="5.046 0.000 0.000 0.000 5.046 0.000 0.000 0.000 5.046" Properties=species:S:1:pos:R:3 pbc="T T T"
Mg 0.000 0.000 0.000
Ga 0.000 0.000 2.523
Ga 0.000 2.523 0.000
Ga 2.523 0.000 0.000
Ge 2.523 2.523 2.523
```

Its formation energy is 625 meV/atom. For the total energy, the calculation gives -2.434 eV/atom. For the energy above the most stable polymorph in this dataset, the calculation gives 123 kJ/mol of formula units. As for the calculated density: 4.0 g/cm3.



No. 9
Density functional theory data (PBE-GGA) for a geometry-optimized Mg2Ga6Ge structure.

Geometry as extended XYZ:
```
9
Lattice="-1.444 4.245 6.978 1.444 -4.245 6.978 1.444 4.245 -6.978" Properties=species:S:1:pos:R:3 pbc="T T T"
Mg 0.000 1.666 0.000
Mg 0.000 6.823 0.000
Ga 1.444 0.000 2.102
Ga 1.444 2.849 -2.507
Ga 0.000 1.395 4.472
Ga 1.444 2.849 2.507
Ga 0.000 1.395 9.485
Ga 0.000 4.245 4.877
Ge 0.000 0.000 6.978
```

Its formation energy is -34 meV/atom. For the total energy, the calculation gives -2.920 eV/atom. As for the calculated density: 5.2 g/cm3.



No. 10
Density functional theory data (PBE-GGA) for a geometry-optimized MgGa2Ge structure.

Geometry as extended XYZ:
```
4
Lattice="4.195 0.000 0.000 0.000 4.195 0.000 0.000 0.000 4.252" Properties=species:S:1:pos:R:3 pbc="T T T"
Mg 0.000 0.000 0.000
Ga 0.000 2.098 2.126
Ga 2.098 0.000 2.126
Ge 2.098 2.098 0.000
```

Its formation energy is -47 meV/atom. For the total energy, the calculation gives -3.114 eV/atom. For the energy above the most stable polymorph in this dataset, the calculation gives 0 kJ/mol of formula units. As for the calculated density: 5.2 g/cm3.



No. 11
Density functional theory data (PBE-GGA) for a geometry-optimized MgGa4Ge structure.

Geometry as extended XYZ:
```
6
Lattice="0.000 3.892 3.892 3.892 0.000 3.892 3.892 3.892 0.000" Properties=species:S:1:pos:R:3 pbc="T T T"
Mg 0.000 0.000 0.000
Ga 4.865 2.919 2.919
Ga 2.919 4.865 2.919
Ga 2.919 2.919 4.865
Ga 4.865 4.865 4.865
Ge 1.946 1.946 1.946
```

Its formation energy is 82 meV/atom. For the total energy, the calculation gives -2.972 eV/atom. As for the calculated density: 5.3 g/cm3.



No. 12
Density functional theory data (PBE-GGA) for a geometry-optimized MgGa2Ge structure.

Geometry as extended XYZ:
```
4
Lattice="0.000 3.415 3.415 3.415 0.000 3.415 3.415 3.415 0.000" Properties=species:S:1:pos:R:3 pbc="T T T"
Mg 0.000 0.000 0.000
Ga 1.708 1.708 1.708
Ga 5.123 5.123 5.123
Ge 3.415 3.415 3.415
```

Its formation energy is 34 meV/atom. For the total energy, the calculation gives -3.032 eV/atom. For the energy above the most stable polymorph in this dataset, the calculation gives 32 kJ/mol of formula units. As for the calculated density: 4.9 g/cm3.